The following is a PBE calculation of a geometry-optimized Ba2SrMgHg6 structure, from Alexandria.

Cell: 9.736 5.280 9.636 Å, 73.86 45.20 90.05°
Atoms (fractional coordinates):
Hg  0.210  0.937  0.125
Hg  0.778  0.455  0.088
Hg  0.381  0.217  0.565
Hg  0.222  0.545  0.912
Hg  0.619  0.783  0.435
Hg  0.790  0.063  0.875
Ba  0.824  0.270  0.460
Ba  0.176  0.730  0.540
Sr  0.500  0.500  0.000
Mg  0.000  0.000  0.000

Computed properties:
E_form: -0.373 eV per atom
Crystal system: triclinic
Symmetry: P-1 (2)
DOS at the Fermi energy: 0.70 states/eV per atom
Size of the total moment: 0.00 μB per formula unit
Calculated total energy: -1.27 eV per atom